A crystal of Na3TiMn relaxed with PBEsol, computed with meta-GGA SCAN.

Lattice parameters (Å, degrees): 5.491 5.491 5.491 90.00 90.00 90.00
Site moments in Bohr magnetons follow the coordinates.
Positions (direct):
Mn 0.000 0.000 0.000  4.53
Na 0.000 0.000 0.500  0.01
Na 0.500 0.000 0.000  0.01
Ti 0.500 0.500 0.500  2.14
Na 0.000 0.500 0.000  0.01

Uncorrected energy = -8.294 eV per atom
Energy relative to the elements = 1092 meV/atom
DOS at the Fermi energy = 0.86 states/eV/atom

=====

A crystal of Cs2IrRuO relaxed with PBEsol, computed with meta-GGA SCAN.

Lattice parameters (Å, degrees): 3.627 6.201 6.201 90.00 90.00 90.00
Site moments in Bohr magnetons follow the coordinates.
Positions (direct):
Ru 0.500 0.000 0.000  0.47
Ir 0.500 0.500 0.500  1.73
Cs 0.000 0.500 0.000  0.01
O 0.000 0.000 0.000  -0.01
Cs 0.000 0.000 0.500  0.01

Uncorrected energy = -36.927 eV per atom
DOS at the Fermi energy = 0.99 states/eV/atom
Raw formation energy = 61 kJ per mole of atoms

=====

A crystal of Sr2HgPtN relaxed with PBEsol, computed with meta-GGA SCAN.

Lattice parameters (Å, degrees): 3.735 5.993 5.993 90.00 90.00 90.00
Positions (direct):
N 0.500 0.000 0.000
Sr 0.000 0.000 0.500
Sr 0.000 0.500 0.000
Hg 0.500 0.500 0.500
Pt 0.000 0.000 0.000

Uncorrected energy = -38.816 eV per atom
DOS at the Fermi energy = 0.66 states/eV/atom
Raw formation energy = -36 kJ per mole of atoms

=====

A crystal of Ca7ZrN6 relaxed with PBEsol, computed with meta-GGA SCAN.

Lattice parameters (Å, degrees): 6.330 9.243 9.243 78.36 69.98 69.98
Positions (direct):
Ca 0.735 0.151 0.605
Ca 0.281 0.957 0.043
Ca 0.491 0.395 0.849
Ca 0.009 0.651 0.105
N 0.879 0.343 0.657
N 0.121 0.657 0.343
Zr 0.750 0.250 0.250
N 0.628 0.280 0.063
N 0.471 0.220 0.437
N 0.971 0.937 0.720
Ca 0.781 0.543 0.457
N 0.621 0.843 0.157
Ca 0.265 0.849 0.395
N 0.529 0.780 0.563
Ca 0.719 0.043 0.957
Ca 0.765 0.895 0.349
N 0.872 0.437 0.220
Ca 0.219 0.457 0.543
N 0.128 0.563 0.780
Ca 0.250 0.250 0.250
Ca 0.750 0.750 0.750
N 0.372 0.720 0.937
Ca 0.235 0.105 0.651
Ca 0.991 0.349 0.895
N 0.379 0.157 0.843
N 0.029 0.063 0.280
Ca 0.509 0.605 0.151
Zr 0.250 0.750 0.750

Uncorrected energy = -12.166 eV per atom
DOS at the Fermi energy = 0.00 states/eV/atom
Raw formation energy = -112 kJ per mole of atoms

=====

> What is the uncorrected energy in the third record?

-38.816 eV per atom